[1]
# TbPmEr3Sc

Crystalline TbPmEr3Sc at its relaxed geometry (PBE, Alexandria via LeMat-Bulk).

Cell lengths 4.948, 7.822, 9.911 Å; angles 90.00, 90.00, 108.44 degrees
Atoms (fractional coordinates):
Er  0.830  0.660  0.250
Sc  0.168  0.337  0.250
Pm  0.502  0.004  0.250
Sc  0.832  0.663  0.750
Er  0.332  0.663  0.500
Er  0.668  0.337  0.000
Pm  0.498  0.996  0.750
Er  0.170  0.340  0.750
Er  0.332  0.663  0.000
Tb  0.000  0.000  0.000
Tb  0.000  0.000  0.500
Er  0.668  0.337  0.500

symmetry	No. 63
N(E_F)	8.79	states/eV/f.u.
ΔH_f (0 K)	0.038	eV per atom



[2]
# KPmVBr6

Crystalline KPmVBr6 at its relaxed geometry (PBE, Alexandria via LeMat-Bulk).

Cell lengths 7.129, 7.129, 14.857 Å; angles 90.00, 90.00, 120.00 degrees
Site moments in Bohr magnetons follow the coordinates.
Atoms (fractional coordinates):
Br  0.624  0.648  0.643  -0.01
Br  0.352  0.376  0.857  -0.01
Br  0.025  0.648  0.857  -0.01
V  0.333  0.667  0.750  2.60
Br  0.376  0.025  0.143  -0.01
K  0.000  0.000  0.000  0.00
K  0.000  0.000  0.500  0.00
Br  0.648  0.025  0.357  -0.01
Br  0.376  0.352  0.357  -0.01
V  0.667  0.333  0.250  2.60
Pm  0.667  0.333  0.750  0.02
Br  0.025  0.376  0.643  -0.01
Pm  0.333  0.667  0.250  0.02
Br  0.352  0.975  0.643  -0.01
Br  0.975  0.624  0.357  -0.01
Br  0.975  0.352  0.143  -0.01
Br  0.648  0.624  0.143  -0.01
Br  0.624  0.975  0.857  -0.01

symmetry	No. 163
formation energy from raw total energies	-1492	meV/atom



[3]
# Pm2ErS3

Crystalline Pm2ErS3 at its relaxed geometry (PBE, Alexandria via LeMat-Bulk).

Cell lengths 3.927, 3.927, 20.072 Å; angles 90.00, 90.00, 120.00 degrees
Atoms (fractional coordinates):
S  0.000  0.000  0.000
Pm  0.667  0.333  0.416
S  0.000  0.000  0.500
S  0.333  0.667  0.330
Pm  0.667  0.333  0.084
Er  0.000  0.000  0.750
Er  0.000  0.000  0.250
S  0.667  0.333  0.670
Pm  0.333  0.667  0.916
Pm  0.333  0.667  0.584
S  0.333  0.667  0.170
S  0.667  0.333  0.830

symmetry	No. 194
formation energy from raw total energies	-1980	meV/atom
N(E_F)	2.93	states/eV/f.u.



[4]
# BaHfOF2

Crystalline BaHfOF2 at its relaxed geometry (PBE, Alexandria via LeMat-Bulk).

Cell lengths 4.768, 4.768, 5.358 Å; angles 90.00, 90.00, 90.00 degrees
Site moments in Bohr magnetons follow the coordinates.
Atoms (fractional coordinates):
F  0.500  0.000  0.000  0.02
Ba  0.000  0.000  0.000  0.00
F  0.000  0.500  0.000  0.02
O  0.000  0.000  0.500  -0.09
Hf  0.500  0.500  0.500  1.14

symmetry	No. 123
formation energy from raw total energies	-1158	meV/atom
N(E_F)	4.09	states/eV/f.u.



[5]
# NaTl3Pt

Crystalline NaTl3Pt at its relaxed geometry (PBE, Alexandria via LeMat-Bulk).

Cell lengths 5.396, 5.396, 5.396 Å; angles 90.00, 90.00, 90.00 degrees
Atoms (fractional coordinates):
Tl  0.000  0.000  0.500
Na  0.000  0.000  0.000
Pt  0.500  0.500  0.500
Tl  0.500  0.000  0.000
Tl  0.000  0.500  0.000

symmetry	No. 221
N(E_F)	3.61	states/eV/f.u.
ΔH_f (0 K)	0.777	eV per atom



[6]
# LiCePrMg

Crystalline LiCePrMg at its relaxed geometry (PBE, Alexandria via LeMat-Bulk).

Cell lengths 5.454, 5.454, 5.454 Å; angles 60.00, 60.00, 60.00 degrees
Site moments in Bohr magnetons follow the coordinates.
Atoms (fractional coordinates):
Li  0.000  0.000  0.000  0.00
Ce  0.250  0.250  0.250  0.86
Pr  0.750  0.750  0.750  0.01
Mg  0.500  0.500  0.500  0.00

symmetry	No. 216
N(E_F)	9.47	states/eV/f.u.
ΔH_f (0 K)	0.127	eV per atom